Compound: LiGaAu2
Source: OQMD via LeMat-Bulk
Functional: PBE-GGA
Structure: optimized geometry

The value obtained for the electronic total energy is -3.21 eV per atom. The space group is F-43m (216). As for the volume: 16.735 Å³/atom.

Cell: 4.5575 4.5575 4.5575 Å, 60.00 60.00 60.00°
Last column: nearest neighbours and their distance in Å.
Positions (direct):
Li: 0.0000 0.0000 0.0000  4 Ga 2.79, 4 Au 2.79
Ga: 0.7500 0.7500 0.7500  4 Au 2.79, 4 Li 2.79
Au: 0.2500 0.2500 0.2500  4 Au 2.79, 4 Li 2.79
Au: 0.5000 0.5000 0.5000  4 Au 2.79, 4 Ga 2.79



Compound: SrYCuTe2S
Source: OQMD via LeMat-Bulk
Functional: PBE-GGA
Structure: optimized geometry

The value obtained for the electronic total energy is -5.07 eV per atom. Its total magnetization is 0.00 μB per formula unit. The space group is Cmcm (63). As for the volume: 26.503 Å³/atom.

Cell: 7.5148 7.5148 10.5139 Å, 90.00 90.00 147.61°
Last column: nearest neighbours and their distance in Å.
Positions (direct):
Sr: 0.2210 0.7790 0.7500  2 S 3.07, 4 Te 3.44
Sr: 0.7790 0.2210 0.2500  2 S 3.07, 4 Te 3.44
Y: 0.5000 0.5000 0.0000  2 S 2.79, 4 Te 3.06
Y: 0.5000 0.5000 0.5000  2 S 2.79, 4 Te 3.06
Cu: 0.0206 0.9794 0.2500  2 S 2.44, 2 Te 2.66
Cu: 0.9794 0.0206 0.7500  2 S 2.44, 2 Te 2.66
Te: 0.1465 0.8535 0.0652  1 Cu 2.66
Te: 0.1465 0.8535 0.4348  1 Cu 2.66
Te: 0.8535 0.1465 0.5652  1 Cu 2.66
Te: 0.8535 0.1465 0.9348  1 Cu 2.66
S: 0.4345 0.5655 0.2500  2 Cu 2.44
S: 0.5655 0.4345 0.7500  2 Cu 2.44



Compound: MgFeBMo
Source: OQMD via LeMat-Bulk
Functional: PBE-GGA
Structure: optimized geometry

As for the energy above the lowest structure with this stoichiometry: 0.00 eV/f.u. Its total magnetization is 0.27 μB per formula unit. The space group is F-43m (216). As for the volume: 11.825 Å³/atom.

Cell: 4.0594 4.0594 4.0594 Å, 60.00 60.00 60.00°
Last column: nearest neighbours and their distance in Å.
Positions (direct):
Mg: 0.0000 0.0000 0.0000  4 Mo 2.49, 4 B 2.49
Fe: 0.5000 0.5000 0.5000  4 Mo 2.49, 4 B 2.49
B: 0.2500 0.2500 0.2500  4 Fe 2.49, 4 Mg 2.49
Mo: 0.7500 0.7500 0.7500  4 Mg 2.49, 4 Fe 2.49



Compound: Rb2HgTeCl6
Source: OQMD via LeMat-Bulk
Functional: PBE-GGA
Structure: optimized geometry

The value obtained for the electronic total energy is -2.72 eV per atom. The space group is Fm-3m (225). As for the volume: 34.143 Å³/atom.

Cell: 7.8452 7.8452 7.8452 Å, 60.00 60.00 60.00°
Last column: nearest neighbours and their distance in Å.
Positions (direct):
Rb: 0.2500 0.2500 0.2500  12 Cl 3.93
Rb: 0.7500 0.7500 0.7500  12 Cl 3.93
Hg: 0.0000 0.0000 0.0000  6 Cl 2.94
Te: 0.5000 0.5000 0.5000  6 Cl 2.61
Cl: 0.2648 0.2648 0.7352  1 Te 2.61
Cl: 0.2648 0.7352 0.2648  1 Te 2.61
Cl: 0.2648 0.7352 0.7352  1 Te 2.61
Cl: 0.7352 0.2648 0.2648  1 Te 2.61
Cl: 0.7352 0.2648 0.7352  1 Te 2.61
Cl: 0.7352 0.7352 0.2648  1 Te 2.61



Compound: Gd4B2SBr
Source: OQMD via LeMat-Bulk
Functional: PBE-GGA
Structure: optimized geometry

The value obtained for the electronic total energy is -5.59 eV per atom. Its total magnetization is 0.86 μB per formula unit. The space group is P-6m2 (187). As for the volume: 22.503 Å³/atom.

Cell: 3.8453 3.8453 14.0588 Å, 90.00 90.00 120.00°
Last column: nearest neighbours and their distance in Å.
Positions (direct):
Gd: 0.0000 0.0000 0.1312  3 B 2.72, 3 S 2.89
Gd: 0.0000 0.0000 0.8688  3 B 2.72, 3 S 2.89
Gd: 0.3333 0.6667 0.3380  3 B 2.59
Gd: 0.3333 0.6667 0.6620  3 B 2.59
B: 0.6667 0.3333 0.2425  6 Gd 2.59-2.72
B: 0.6667 0.3333 0.7575  6 Gd 2.59-2.72
S: 0.3333 0.6667 0.0000  6 Gd 2.89
Br: 0.0000 0.0000 0.5000  6 Gd 3.18



Compound: YHoPO
Source: OQMD via LeMat-Bulk
Functional: PBE-GGA
Structure: optimized geometry

As for the energy above the lowest structure with this stoichiometry: 0.42 eV/f.u. Its total magnetization is 0.00 μB per formula unit. The space group is P4/nmm (129). As for the volume: 19.696 Å³/atom.

Cell: 4.3135 4.3135 8.4681 Å, 90.00 90.00 90.00°
Last column: nearest neighbours and their distance in Å.
Positions (direct):
Y: 0.2500 0.7500 0.0000  4 P 2.74, 4 Y 3.05
Y: 0.7500 0.2500 0.0000  4 P 2.74, 4 Y 3.05
Ho: 0.2500 0.2500 0.4005  4 O 2.32
Ho: 0.7500 0.7500 0.5995  4 O 2.32
P: 0.2500 0.2500 0.8008  4 Y 2.74
P: 0.7500 0.7500 0.1992  4 Y 2.74
O: 0.2500 0.7500 0.5000  4 Ho 2.32
O: 0.7500 0.2500 0.5000  4 Ho 2.32



Compound: LuScI2O2
Source: OQMD via LeMat-Bulk
Functional: PBE-GGA
Structure: optimized geometry

As for the energy above the lowest structure with this stoichiometry: 0.00 eV/f.u. Its total magnetization is 0.00 μB per formula unit. The space group is C2/m (12). As for the volume: 23.714 Å³/atom.

Cell: 10.0402 10.0402 7.3718 Å, 94.80 94.80 22.60°
Last column: nearest neighbours and their distance in Å.
Positions (direct):
Lu: 0.1971 0.1971 0.1121  4 O 2.19-2.24
Lu: 0.8029 0.8029 0.8879  4 O 2.19-2.24
Sc: 0.2016 0.2016 0.6125  4 O 2.06-2.13
Sc: 0.7984 0.7984 0.3875  4 O 2.06-2.13
I: 0.0821 0.0821 0.3518  1 Sc 2.91, 1 Lu 2.99
I: 0.3978 0.3978 0.1509  2 Lu 3.24, 2 Sc 3.37, 4 O 3.37-3.57
I: 0.6022 0.6022 0.8491  2 Lu 3.24, 2 Sc 3.37, 4 O 3.37-3.57
I: 0.9179 0.9179 0.6482  1 Sc 2.91, 1 Lu 2.99
O: 0.2540 0.2540 0.8670  1 Sc 2.06, 3 Lu 2.19-2.21
O: 0.2564 0.2564 0.3846  3 Sc 2.07-2.13, 1 Lu 2.24
O: 0.7436 0.7436 0.6154  3 Sc 2.07-2.13, 1 Lu 2.24
O: 0.7460 0.7460 0.1330  1 Sc 2.06, 3 Lu 2.19-2.21



Compound: Tb2BiO2
Source: OQMD via LeMat-Bulk
Functional: PBE-GGA
Structure: optimized geometry

The value obtained for the electronic total energy is -7.34 eV per atom. Its total magnetization is 0.00 μB per formula unit. The space group is I4/mmm (139). As for the volume: 20.246 Å³/atom.

Cell: 7.2460 7.2460 7.2460 Å, 148.89 148.89 44.57°
Last column: nearest neighbours and their distance in Å.
Positions (direct):
Tb: 0.1665 0.1665 0.0000  4 O 2.24
Tb: 0.8335 0.8335 0.0000  4 O 2.24
Bi: 0.5000 0.5000 0.0000  8 Tb 3.54, 8 O 3.87, 4 Bi 3.89
O: 0.2500 0.7500 0.5000  4 Tb 2.24
O: 0.7500 0.2500 0.5000  4 Tb 2.24



Compound: BaZn2SnGe
Source: OQMD via LeMat-Bulk
Functional: PBE-GGA
Structure: optimized geometry

The value obtained for the electronic total energy is -2.99 eV per atom. The space group is I4mm (107). As for the volume: 24.270 Å³/atom.

Cell: 6.4495 6.4495 6.4495 Å, 137.43 137.43 61.78°
Last column: nearest neighbours and their distance in Å.
Positions (direct):
Ba: 0.0000 0.0000 0.0000  8 Zn 3.53-3.72, 4 Ge 3.59, 4 Sn 3.60
Zn: 0.2392 0.7392 0.5000  2 Ge 2.66, 2 Sn 2.77
Zn: 0.7392 0.2392 0.5000  2 Ge 2.66, 2 Sn 2.77
Sn: 0.3729 0.3729 0.0000  4 Zn 2.77, 1 Ge 2.78
Ge: 0.6243 0.6243 0.0000  4 Zn 2.66, 1 Sn 2.78



Compound: TaInCoCu
Source: OQMD via LeMat-Bulk
Functional: PBE-GGA
Structure: optimized geometry

As for the energy above the lowest structure with this stoichiometry: 1.52 eV/f.u. Its total magnetization is 0.35 μB per formula unit. The space group is F-43m (216). As for the volume: 15.324 Å³/atom.

Cell: 4.4257 4.4257 4.4257 Å, 60.00 60.00 60.00°
Last column: nearest neighbours and their distance in Å.
Positions (direct):
Ta: 0.0000 0.0000 0.0000  4 Cu 2.71, 4 In 2.71
In: 0.2500 0.2500 0.2500  4 Ta 2.71, 4 Co 2.71
Co: 0.5000 0.5000 0.5000  4 In 2.71, 4 Cu 2.71
Cu: 0.7500 0.7500 0.7500  4 Ta 2.71, 4 Co 2.71



Compound: Co12Re17
Source: OQMD via LeMat-Bulk
Functional: PBE-GGA
Structure: optimized geometry

As for the energy above the lowest structure with this stoichiometry: 3.65 eV/f.u. Its total magnetization is 10.47 μB per formula unit. The space group is I-43m (217). As for the volume: 13.359 Å³/atom.

Cell: 7.9542 7.9542 7.9542 Å, 109.47 109.47 109.47°
Last column: nearest neighbours and their distance in Å.
Positions (direct):
Co: 0.0000 0.4026 0.6823  3 Re 2.36-2.56
Co: 0.0000 0.6823 0.4026  3 Re 2.36-2.56
Co: 0.2797 0.5974 0.5974  3 Re 2.36-2.56
Co: 0.3177 0.3177 0.7203  3 Re 2.36-2.56
Co: 0.3177 0.7203 0.3177  3 Re 2.36-2.56
Co: 0.4026 0.0000 0.6823  3 Re 2.36-2.56
Co: 0.4026 0.6823 0.0000  3 Re 2.36-2.56
Co: 0.5974 0.2797 0.5974  3 Re 2.36-2.56
Co: 0.5974 0.5974 0.2797  3 Re 2.36-2.56
Co: 0.6823 0.0000 0.4026  3 Re 2.36-2.56
Co: 0.6823 0.4026 0.0000  3 Re 2.36-2.56
Co: 0.7203 0.3177 0.3177  3 Re 2.36-2.56
Re: 0.0000 0.0000 0.0000  16 Re 2.76-2.96
Re: 0.0000 0.0000 0.6531  3 Co 2.65, 7 Re 2.76-2.79
Re: 0.0000 0.1997 0.3882  3 Co 2.36-2.56, 3 Re 2.45-2.59
Re: 0.0000 0.3882 0.1997  3 Co 2.36-2.56, 3 Re 2.45-2.59
Re: 0.0000 0.6531 0.0000  3 Co 2.65, 7 Re 2.76-2.79
Re: 0.1885 0.8003 0.8003  3 Co 2.36-2.56, 3 Re 2.45-2.59
Re: 0.1997 0.0000 0.3882  3 Co 2.36-2.56, 3 Re 2.45-2.59
Re: 0.1997 0.3882 0.0000  3 Co 2.36-2.56, 3 Re 2.45-2.59
Re: 0.3469 0.3469 0.3469  3 Co 2.65, 7 Re 2.76-2.79
Re: 0.3882 0.0000 0.1997  3 Co 2.36-2.56, 3 Re 2.45-2.59
Re: 0.3882 0.1997 0.0000  3 Co 2.36-2.56, 3 Re 2.45-2.59
Re: 0.6118 0.6118 0.8115  3 Co 2.36-2.56, 3 Re 2.45-2.59
Re: 0.6118 0.8115 0.6118  3 Co 2.36-2.56, 3 Re 2.45-2.59
Re: 0.6531 0.0000 0.0000  3 Co 2.65, 7 Re 2.76-2.79
Re: 0.8003 0.1885 0.8003  3 Co 2.36-2.56, 3 Re 2.45-2.59
Re: 0.8003 0.8003 0.1885  3 Co 2.36-2.56, 3 Re 2.45-2.59
Re: 0.8115 0.6118 0.6118  3 Co 2.36-2.56, 3 Re 2.45-2.59



Compound: NaScCuS3
Source: OQMD via LeMat-Bulk
Functional: PBE-GGA
Structure: optimized geometry

The value obtained for the electronic total energy is -5.10 eV per atom. Its total magnetization is 0.00 μB per formula unit. The space group is P2_1/m (11). As for the volume: 20.335 Å³/atom.

Cell: 7.6928 3.7039 8.9614 Å, 90.00 107.12 90.00°
Last column: nearest neighbours and their distance in Å.
Positions (direct):
Na: 0.2083 0.2500 0.2292  4 S 2.82-2.89
Na: 0.7917 0.7500 0.7708  4 S 2.82-2.89
Sc: 0.3239 0.7500 0.8547  6 S 2.56-2.71
Sc: 0.6761 0.2500 0.1453  6 S 2.56-2.71
Cu: 0.0862 0.2500 0.5996  4 S 2.28-2.35
Cu: 0.9138 0.7500 0.4004  4 S 2.28-2.35
S: 0.0929 0.2500 0.8556  1 Cu 2.28
S: 0.2254 0.7500 0.5379  3 Cu 2.29-2.35
S: 0.4454 0.7500 0.1534  3 Sc 2.56-2.58, 2 Na 2.82
S: 0.5546 0.2500 0.8466  3 Sc 2.56-2.58, 2 Na 2.82
S: 0.7746 0.2500 0.4621  3 Cu 2.29-2.35
S: 0.9071 0.7500 0.1444  1 Cu 2.28



Q: Which formula does entry 3 have?
A: MgFeBMo



Repeat the first record exactly.
Compound: LiGaAu2
Source: OQMD via LeMat-Bulk
Functional: PBE-GGA
Structure: optimized geometry

The value obtained for the electronic total energy is -3.21 eV per atom. The space group is F-43m (216). As for the volume: 16.735 Å³/atom.

Cell: 4.5575 4.5575 4.5575 Å, 60.00 60.00 60.00°
Last column: nearest neighbours and their distance in Å.
Positions (direct):
Li: 0.0000 0.0000 0.0000  4 Ga 2.79, 4 Au 2.79
Ga: 0.7500 0.7500 0.7500  4 Au 2.79, 4 Li 2.79
Au: 0.2500 0.2500 0.2500  4 Au 2.79, 4 Li 2.79
Au: 0.5000 0.5000 0.5000  4 Au 2.79, 4 Ga 2.79